No. 1
Here is a relaxed structure of BC from Alexandria. Energies are from PBE.

Results
**Density**: 2.84 g/cm3
**Magnetic moment**: 0.00 μB per cell
**Space group**: No. 156
**Energy above the lowest structure with this stoichiometry**: 269 meV per atom
**Total DFT energy (no corrections)**: -0.27674 hartree per atom
**Density of states at the Fermi level**: 0.381 states/eV per atom
**DFT formation energy**: 0.8 eV per formula unit

Cell and atoms, written as POSCAR:
```
BC
1.0
2.559 0.000 0.000
-1.280 2.216 0.000
0.000 0.000 14.100
B C
6 6
direct
0.000 0.000 0.000 B
0.000 0.000 0.119 B
0.000 0.000 0.604 B
0.333 0.667 0.193 B
0.333 0.667 0.764 B
0.667 0.333 0.924 B
0.000 0.000 0.487 C
0.333 0.667 0.306 C
0.333 0.667 0.652 C
0.667 0.333 0.341 C
0.667 0.333 0.454 C
0.667 0.333 0.815 C
```


No. 2
Here is a relaxed structure of B7C5 from Alexandria. Energies are from PBE.

Results
**Density**: 2.83 g/cm3
**Magnetic moment**: 0.00 μB per cell
**Space group**: No. 8
**Energy above the lowest structure with this stoichiometry**: 241 meV per atom
**Total DFT energy (no corrections)**: -0.26949 hartree per atom
**Density of states at the Fermi level**: 0.080 states/eV per atom
**DFT formation energy**: 4.9 eV per formula unit

Cell and atoms, written as POSCAR:
```
B7C5
1.0
5.358 -1.339 0.000
5.358 1.339 0.000
-1.043 0.000 5.545
B C
7 5
direct
0.000 0.000 0.000 B
0.018 0.018 0.340 B
0.111 0.111 0.835 B
0.403 0.403 0.077 B
0.481 0.481 0.804 B
0.696 0.696 0.740 B
0.784 0.784 0.030 B
0.136 0.136 0.202 C
0.370 0.370 0.563 C
0.457 0.457 0.379 C
0.713 0.713 0.261 C
0.785 0.785 0.530 C
```